(1)
Density functional theory data (GGA-PBE) for crystalline Er2ZrIn at its relaxed geometry.

The structure belongs to space group P2_1/m (No. 11); the cell edges are 4.5042, 4.4251 and 11.0181 Å and the angles 90.00°, 101.34° and 90.00°. Symmetry generates all atoms from Er at (0.0624, 0.2500, 0.1294), Er at (0.4327, 0.2500, 0.8614), Zr at (0.3157, 0.7500, 0.6179) and In at (0.1661, 0.7500, 0.3457).

The value obtained for the energy relative to the elements is 0.02 eV per atom. The calculation puts the energy above the most stable polymorph in this dataset at 227.6 meV/atom. Its density of states at the Fermi level is 1.20 states/eV per atom.

***

(2)
Density functional theory data (GGA-PBE) for crystalline Er6ZrIn5 at its relaxed geometry.

The structure belongs to space group C2/m (No. 12); the cell edges are 16.8310, 7.4082 and 5.2978 Å and the angles 90.00°, 108.27° and 90.00°. Symmetry generates all atoms from Er at (0.0000, 0.2443, 0.0000), Er at (0.1685, 0.2486, 0.6685), Zr at (0.0000, 0.5000, 0.5000), In at (0.0000, 0.0000, 0.5000), In at (0.1557, 0.5000, 0.1557) and In at (0.1671, 0.0000, 0.1671).

The value obtained for the energy relative to the elements is -0.37 eV per atom. Its density of states at the Fermi level is 0.77 states/eV per atom.

***

(3)
Density functional theory data (GGA-PBE) for crystalline Er3Ir2 at its relaxed geometry.

The structure belongs to space group Cmcm (No. 63); the cell edges are 4.2784, 10.9489 and 9.9273 Å and the angles 90.00°, 90.00° and 90.00°. Symmetry generates all atoms from Er at (0.0000, 0.0961, 0.2500), Er at (0.0000, 0.3518, 0.0641), Ir at (0.0000, 0.0000, 0.0000) and Ir at (0.0000, 0.1870, 0.7500).

The value obtained for the energy relative to the elements is -0.73 eV per atom. The calculation puts the energy above the most stable polymorph in this dataset at 115.3 meV/atom. Its density of states at the Fermi level is 0.58 states/eV per atom.

***

(4)
Density functional theory data (GGA-PBE) for crystalline Er5Ir4 at its relaxed geometry.

The structure belongs to space group C2/m (No. 12); the cell edges are 10.3353, 4.2817 and 9.7028 Å and the angles 90.00°, 112.16° and 90.00°. Symmetry generates all atoms from Er at (0.0000, 0.0000, 0.0000), Er at (0.1098, 0.0000, 0.3966), Er at (0.2461, 0.0000, 0.8222), Ir at (0.0523, 0.5000, 0.8548) and Ir at (0.1173, 0.5000, 0.6180).

The value obtained for the energy relative to the elements is -0.81 eV per atom. Its density of states at the Fermi level is 0.53 states/eV per atom.

***

(5)
Density functional theory data (GGA-PBE) for crystalline Er3Ir2 at its relaxed geometry.

The structure belongs to space group I4/mcm (No. 140); the cell edges are 11.1427, 11.1427 and 25.0085 Å and the angles 90.00°, 90.00° and 90.00°. Symmetry generates all atoms from Er at (0.0000, 0.5000, 0.1134), Er at (0.0000, 0.5000, 0.2500), Er at (0.0739, 0.2050, 0.0719), Er at (0.0791, 0.2110, 0.3059), Er at (0.1507, 0.3493, 0.5000), Ir at (0.0000, 0.0000, 0.0000), Ir at (0.0000, 0.0000, 0.1332), Ir at (0.0000, 0.0000, 0.2500), Ir at (0.0968, 0.4032, 0.0000), Ir at (0.1542, 0.3458, 0.1887) and Ir at (0.1800, 0.3200, 0.3937).

The value obtained for the energy relative to the elements is -0.85 eV per atom. The calculation puts the energy above the most stable polymorph in this dataset at 0.0 meV/atom. Its density of states at the Fermi level is 0.47 states/eV per atom.

***

(6)
Density functional theory data (GGA-PBE) for crystalline ErIr4 at its relaxed geometry.

The structure belongs to space group Pm-3m (No. 221); the cell edges are 4.8013, 4.8013 and 4.8013 Å and the angles 90.00°, 90.00° and 90.00°. Symmetry generates all atoms from Er at (0.0000, 0.0000, 0.0000), Ir at (0.0000, 0.0000, 0.5000) and Ir at (0.5000, 0.5000, 0.5000).

The value obtained for the energy relative to the elements is 2.40 eV per atom. Its density of states at the Fermi level is 1.73 states/eV per atom.

***

(7)
Density functional theory data (GGA-PBE) for crystalline Er3Ir at its relaxed geometry.

The structure belongs to space group I-42m (No. 121); the cell edges are 11.5773, 11.5773 and 6.0595 Å and the angles 90.00°, 90.00° and 90.00°. Symmetry generates all atoms from Er at (0.0000, 0.3580, 0.0000), Er at (0.0956, 0.0956, 0.7457), Er at (0.2034, 0.2034, 0.3027) and Ir at (0.0000, 0.2915, 0.5000).

The value obtained for the energy relative to the elements is -0.57 eV per atom. Its density of states at the Fermi level is 0.64 states/eV per atom.

***

(8)
Density functional theory data (GGA-PBE) for crystalline Er3Ir2 at its relaxed geometry.

The structure belongs to space group C2/m (No. 12); the cell edges are 8.2109, 4.7168 and 5.9631 Å and the angles 90.00°, 90.18° and 90.00°. Symmetry generates all atoms from Er at (0.0000, 0.0000, 0.0000), Er at (0.1665, 0.5000, 0.6639) and Ir at (0.1667, 0.5000, 0.1702).

The value obtained for the energy relative to the elements is -0.84 eV per atom. The calculation puts the energy above the most stable polymorph in this dataset at 8.2 meV/atom. Its density of states at the Fermi level is 0.53 states/eV per atom.

***

(9)
Density functional theory data (GGA-PBE) for crystalline ErIr6 at its relaxed geometry.

The structure belongs to space group Im-3m (No. 229); the cell edges are 6.8042, 6.8042 and 6.8042 Å and the angles 90.00°, 90.00° and 90.00°. Symmetry generates all atoms from Er at (0.0000, 0.0000, 0.0000) and Ir at (0.0000, 0.2500, 0.5000).

The value obtained for the energy relative to the elements is 0.47 eV per atom. Its density of states at the Fermi level is 1.07 states/eV per atom.

***

(10)
Density functional theory data (GGA-PBE) for crystalline Er6Ir5 at its relaxed geometry.

The structure belongs to space group Immm (No. 71); the cell edges are 4.8307, 6.6293 and 14.5200 Å and the angles 90.00°, 90.00° and 90.00°. Symmetry generates all atoms from Er at (0.0000, 0.2481, 0.0000), Er at (0.0000, 0.2520, 0.3344), Ir at (0.0000, 0.0000, 0.1683), Ir at (0.0000, 0.0000, 0.5000) and Ir at (0.0000, 0.5000, 0.1658).

The value obtained for the energy relative to the elements is -0.86 eV per atom. Its density of states at the Fermi level is 0.37 states/eV per atom.

***

(11)
Density functional theory data (GGA-PBE) for crystalline Er3Ir at its relaxed geometry.

The structure belongs to space group Pnma (No. 62); the cell edges are 7.1765, 9.1258 and 6.3592 Å and the angles 90.00°, 90.00° and 90.00°. Symmetry generates all atoms from Er at (0.0335, 0.2500, 0.1276), Er at (0.1777, 0.0619, 0.6752) and Ir at (0.1148, 0.7500, 0.4586).

The value obtained for the energy relative to the elements is -0.61 eV per atom. Its density of states at the Fermi level is 0.92 states/eV per atom.

***

(12)
Density functional theory data (GGA-PBE) for crystalline Er2Ir at its relaxed geometry.

The structure belongs to space group Fm-3m (No. 225); the cell edges are 6.7363, 6.7363 and 6.7363 Å and the angles 90.00°, 90.00° and 90.00°. Symmetry generates all atoms from Er at (0.2500, 0.2500, 0.2500) and Ir at (0.0000, 0.0000, 0.0000).

The value obtained for the energy relative to the elements is -0.74 eV per atom. Its density of states at the Fermi level is 0.93 states/eV per atom.

***

(13)
Density functional theory data (GGA-PBE) for crystalline Er3Ir at its relaxed geometry.

The structure belongs to space group P4_2/n (No. 86, origin choice 2); the cell edges are 11.4618, 11.4618 and 6.2264 Å and the angles 90.00°, 90.00° and 90.00°. Symmetry generates all atoms from Er at (0.0342, 0.5928, 0.2025), Er at (0.1160, 0.1940, 0.0268), Er at (0.1155, 0.6650, 0.6932) and Ir at (0.0538, 0.1859, 0.5132).

The value obtained for the energy relative to the elements is -0.55 eV per atom. Its density of states at the Fermi level is 0.98 states/eV per atom.

***

(14)
Density functional theory data (GGA-PBE) for crystalline Er3Ir at its relaxed geometry.

The structure belongs to space group Immm (No. 71); the cell edges are 3.5973, 5.1574 and 10.8319 Å and the angles 90.00°, 90.00° and 90.00°. Symmetry generates all atoms from Er at (0.0000, 0.0000, 0.0000), Er at (0.0000, 0.5000, 0.1978) and Ir at (0.0000, 0.0000, 0.5000).

The value obtained for the energy relative to the elements is -0.51 eV per atom. Its density of states at the Fermi level is 0.81 states/eV per atom.

***

(15)
Density functional theory data (GGA-PBE) for crystalline Er3Ir at its relaxed geometry.

The structure belongs to space group Pmm2 (No. 25); the cell edges are 3.3518, 3.6385 and 9.1179 Å and the angles 90.00°, 90.00° and 90.00°. Symmetry generates all atoms from Er at (0.0000, 0.0000, 0.0000), Er at (0.0000, 0.5000, 0.3417), Er at (0.5000, 0.5000, 0.7165) and Ir at (0.5000, 0.0000, 0.4901).

The value obtained for the energy relative to the elements is -0.20 eV per atom. Its density of states at the Fermi level is 1.24 states/eV per atom.

***

(16)
Density functional theory data (GGA-PBE) for crystalline K2ErIr3O12 at its relaxed geometry.

The structure belongs to space group R-3m (No. 166, hexagonal axes); the cell edges are 7.2902, 7.2902 and 18.9086 Å and the angles 90.00°, 90.00° and 120.00°. Symmetry generates all atoms from K at (0.0000, 0.0000, 0.1053), Er at (0.0000, 0.0000, 0.5000), Ir at (0.0000, 0.5000, 0.0000), O at (0.0502, 0.5251, 0.0982) and O at (0.0670, 0.5335, 0.3473).

As for the raw formation energy: -1184.1 meV per atom. Its density of states at the Fermi level is 0.54 states/eV per atom.

***

(17)
Density functional theory data (GGA-PBE) for crystalline K2ErIrO4 at its relaxed geometry.

The structure belongs to space group P2/m (No. 10); the cell edges are 5.5104, 3.3898 and 6.4888 Å and the angles 90.00°, 108.25° and 90.00°. Symmetry generates all atoms from K at (0.0000, 0.0000, 0.0000), K at (0.5000, 0.5000, 0.0000), Er at (0.0000, 0.5000, 0.5000), Ir at (0.5000, 0.0000, 0.5000), O at (0.2383, 0.0000, 0.6919) and O at (0.2954, 0.5000, 0.3218).

As for the raw formation energy: -1802.3 meV per atom.

***

(18)
Density functional theory data (GGA-PBE) for crystalline KErIrO6 at its relaxed geometry.

The structure belongs to space group P312 (No. 149); the cell edges are 5.5828, 5.5828 and 5.8335 Å and the angles 90.00°, 90.00° and 120.00°. Symmetry generates all atoms from K at (0.0000, 0.0000, 0.0000), Er at (0.3333, 0.6667, 0.5000), Ir at (0.6667, 0.3333, 0.5000) and O at (0.4005, 0.0436, 0.6863).

As for the raw formation energy: -1476.4 meV per atom. Its density of states at the Fermi level is 0.59 states/eV per atom.

***

(19)
Density functional theory data (GGA-PBE) for crystalline K2Er2IrO6 at its relaxed geometry.

The structure belongs to space group C2/m (No. 12); the cell edges are 5.7484, 9.8630 and 6.5760 Å and the angles 90.00°, 105.42° and 90.00°. Symmetry generates all atoms from K at (0.0000, 0.1611, 0.0000), Er at (0.0000, 0.3357, 0.5000), Ir at (0.0000, 0.0000, 0.5000), O at (0.2065, 0.1574, 0.6727) and O at (0.2452, 0.5000, 0.6764).

As for the raw formation energy: -2195.1 meV per atom. Its density of states at the Fermi level is 0.69 states/eV per atom.

***

| no. | magnetization (Bohr magnetons per cell) |
| --- | --- |
| 1 | 0.00 |
| 2 | 5.19 |
| 3 | 0.00 |
| 4 | 0.00 |
| 5 | 0.00 |
| 6 | 3.53 |
| 7 | 0.00 |
| 8 | 0.00 |
| 9 | 0.00 |
| 10 | 0.00 |
| 11 | 0.00 |
| 12 | 0.00 |
| 13 | 0.00 |
| 14 | 0.00 |
| 15 | 0.00 |
| 16 | 13.34 |
| 17 | 0.00 |
| 18 | 0.66 |
| 19 | 2.11 |